# 1
A relaxed Ba3CaRe crystal. Source: Alexandria via LeMat-Bulk, functional PBE.

* magnetic moment: 0.00 μB per cell
* E_form: 0.6633 eV per atom
* ΔE to the lowest computed polymorph: 0 meV/atom
* electronic total energy: -3.380 eV/atom

a = 6.1361 Å, b = 6.1361 Å, c = 6.1361 Å
α = 90.00°, β = 90.00°, γ = 90.00°
With the nearest neighbours (Å) after each atom.
Fractional coordinates of all 5 atoms:
Re: 0.0000 0.0000 0.0000  6 Ba 3.07
Ca: 0.5000 0.5000 0.5000  12 Ba 4.34
Ba: 0.0000 0.5000 0.0000  2 Re 3.07
Ba: 0.0000 0.0000 0.5000  2 Re 3.07
Ba: 0.5000 0.0000 0.0000  2 Re 3.07

# 2
A relaxed Ce2CdI crystal. Source: Alexandria via LeMat-Bulk, functional PBE.

* magnetic moment: 3.12 μB per cell
* ΔE to the lowest computed polymorph: 0 meV/atom
* formation energy from raw total energies: -1.57 eV/f.u.
* electronic total energy: -3.975 eV/atom

a = 3.6801 Å, b = 3.6801 Å, c = 8.5405 Å
α = 90.00°, β = 90.00°, γ = 90.00°
With the nearest neighbours (Å) after each atom.
Fractional coordinates of all 4 atoms:
I: 0.5000 0.5000 0.5000  8 Ce 3.38, 4 I 3.68
Ce: 0.0000 0.0000 0.7530  4 Cd 3.35, 4 I 3.38, 4 Ce 3.68
Ce: 0.0000 0.0000 0.2470  4 Cd 3.35, 4 I 3.38, 4 Ce 3.68
Cd: 0.5000 0.5000 0.0000  8 Ce 3.35, 4 Cd 3.68

# 3
A relaxed CaSm4Pt4 crystal. Source: Alexandria via LeMat-Bulk, functional PBE.

* magnetic moment: 0.00 μB per cell
* E_form: -0.9680 eV per atom
* electronic total energy: -5.973 eV/atom

a = 5.8138 Å, b = 9.2622 Å, c = 9.2622 Å
α = 90.00°, β = 90.00°, γ = 90.00°
With the nearest neighbours (Å) after each atom.
Fractional coordinates of all 18 atoms:
Ca: 0.0000 0.0000 0.0000  4 Pt 2.97
Ca: 0.5000 0.5000 0.5000  4 Pt 2.97
Sm: 0.4272 0.3267 0.9011  5 Pt 2.88-2.94
Sm: 0.9272 0.5989 0.8267  5 Pt 2.88-2.94
Sm: 0.4272 0.6733 0.0989  5 Pt 2.88-2.94
Sm: 0.0728 0.1733 0.5989  5 Pt 2.88-2.94
Sm: 0.5728 0.9011 0.6733  5 Pt 2.88-2.94
Sm: 0.0728 0.8267 0.4011  5 Pt 2.88-2.94
Sm: 0.9272 0.4011 0.1733  5 Pt 2.88-2.94
Sm: 0.5728 0.0989 0.3267  5 Pt 2.88-2.94
Pt: 0.5733 0.7926 0.3778  5 Sm 2.88-2.94, 1 Ca 2.97
Pt: 0.5733 0.2074 0.6222  5 Sm 2.88-2.94, 1 Ca 2.97
Pt: 0.0733 0.8778 0.7074  5 Sm 2.88-2.94, 1 Ca 2.97
Pt: 0.9267 0.2926 0.8778  5 Sm 2.88-2.94, 1 Ca 2.97
Pt: 0.9267 0.7074 0.1222  5 Sm 2.88-2.94, 1 Ca 2.97
Pt: 0.4267 0.3778 0.2074  5 Sm 2.88-2.94, 1 Ca 2.97
Pt: 0.4267 0.6222 0.7926  5 Sm 2.88-2.94, 1 Ca 2.97
Pt: 0.0733 0.1222 0.2926  5 Sm 2.88-2.94, 1 Ca 2.97